Entry A
LaHoTmTh | GGA-PBE | relaxed

Space-group type   F-43m (216)

Cell lengths 5.698, 5.698, 5.698 Å; angles 60.00, 60.00, 60.00 degrees
Fractional positions:
La  0.500  0.500  0.500
Tm  0.250  0.250  0.250
Ho  0.750  0.750  0.750
Th  0.000  0.000  0.000



Entry B
LaHoTmTh | GGA-PBE | relaxed

Space-group type   P4mm (99)

Cell lengths 3.612, 3.612, 9.981 Å; angles 90.00, 90.00, 90.00 degrees
Fractional positions:
Th  0.000  0.000  0.573
Ho  0.500  0.500  0.333
Tm  0.500  0.500  0.809
La  0.000  0.000  0.070



Tell me which of them is the most stable. Sure, it is entry B.



Entry A
LaYHoTh | GGA-PBE | relaxed

Space-group type   P4mm (99)

Cell lengths 3.619, 3.619, 10.118 Å; angles 90.00, 90.00, 90.00 degrees
Fractional positions:
Y  0.500  0.500  0.809
Ho  0.500  0.500  0.333
Th  0.000  0.000  0.569
La  0.000  0.000  0.073



Entry B
LaYHoTh | GGA-PBE | relaxed

Space-group type   F-43m (216)

Cell lengths 5.732, 5.732, 5.732 Å; angles 60.00, 60.00, 60.00 degrees
Fractional positions:
La  0.500  0.500  0.500
Y  0.750  0.750  0.750
Ho  0.250  0.250  0.250
Th  0.000  0.000  0.000



Tell me which of them is the most stable. Sure, it is entry A.